No. 1
DFT (GGA-PBE) results for PmCuSi3 after structural relaxation.

Energy relative to the lowest polymorph listed for this composition, meV/atom: 72
SG: I4mm
Spin magnetization, μB/cell: 0.000
Energy relative to the elements, uncorrected, meV/atom: -367

POSCAR file:
```
PmCuSi3
1.0
-3.229 0.660 -2.836
-2.891 -1.241 3.002
2.686 4.640 1.355
Pm Cu Si
1 1 3
Direct
0.014 0.014 0.028 Pm
0.650 0.650 0.300 Cu
0.266 0.766 0.533 Si
0.766 0.266 0.533 Si
0.393 0.393 0.787 Si
```



No. 2
DFT (GGA-PBE) results for Pm2Cu2Si after structural relaxation.

SG: C2/m
Spin magnetization, μB/cell: 0.000
Energy relative to the elements, uncorrected, meV/atom: -407

POSCAR file:
```
Pm2Cu2Si
1.0
-2.987 -2.333 -1.892
-1.431 -4.504 3.071
-8.226 3.812 3.546
Pm Cu Si
4 4 2
Direct
0.303 0.282 0.113 Pm
0.519 0.306 0.656 Pm
0.697 0.718 0.887 Pm
0.481 0.694 0.344 Pm
0.994 0.129 0.883 Cu
0.150 0.258 0.441 Cu
0.006 0.871 0.117 Cu
0.850 0.742 0.559 Cu
0.776 0.105 0.342 Si
0.224 0.895 0.658 Si
```



No. 3
DFT (GGA-PBE) results for PmCu2Si after structural relaxation.

Energy relative to the lowest polymorph listed for this composition, meV/atom: 30
SG: P4/nmm
Spin magnetization, μB/cell: 0.000
Energy relative to the elements, uncorrected, meV/atom: -365

POSCAR file:
```
PmCu2Si
1.0
-0.428 2.452 3.101
0.093 -3.112 2.474
9.119 0.781 0.641
Pm Cu Si
2 4 2
Direct
0.500 0.000 0.235 Pm
0.000 0.500 0.765 Pm
0.500 0.000 0.918 Cu
0.000 0.500 0.082 Cu
0.000 0.000 0.500 Cu
0.500 0.500 0.500 Cu
0.500 0.000 0.649 Si
0.000 0.500 0.351 Si
```



No. 4
DFT (GGA-PBE) results for PmCu2Si after structural relaxation.

Energy relative to the lowest polymorph listed for this composition, meV/atom: 0
SG: Cmcm
Spin magnetization, μB/cell: 0.000
Energy relative to the elements, uncorrected, meV/atom: -396

POSCAR file:
```
PmCu2Si
1.0
-0.876 -3.907 -0.641
2.411 0.744 4.997
-5.936 0.883 2.733
Pm Cu Si
2 4 2
Direct
0.929 0.858 0.250 Pm
0.071 0.142 0.750 Pm
0.352 0.704 0.940 Cu
0.648 0.296 0.060 Cu
0.648 0.296 0.440 Cu
0.352 0.704 0.560 Cu
0.214 0.428 0.250 Si
0.786 0.572 0.750 Si
```